First-principles (PBE-GGA) data for an optimized crystal structure of Sm5CdHg4, as listed in Alexandria via LeMat-Bulk.

Lattice parameters (Å, degrees): 3.8053 3.8053 18.9102 90.00 90.00 90.00
Positions (direct):
Sm: 0.5000 0.5000 0.1014
Sm: 0.5000 0.5000 0.3007
Sm: 0.5000 0.5000 0.5000
Sm: 0.5000 0.5000 0.6993
Sm: 0.5000 0.5000 0.8986
Cd: 0.0000 0.0000 0.0000
Hg: 0.0000 0.0000 0.1994
Hg: 0.0000 0.0000 0.4002
Hg: 0.0000 0.0000 0.5998
Hg: 0.0000 0.0000 0.8006

Output
Formation energy from the elements, eV/atom: -0.44
Size of the total moment, μB/atom: 0.20
Space group: P4/mmm, No. 123